A relaxed structure of Ba3NbB. Source: Alexandria, functional GGA-PBE.

Unit cell a=5.812 b=5.812 c=5.812 alpha=90.00 beta=90.00 gamma=90.00
Positions (direct):
Ba 0.000 0.000 0.500
Ba 0.000 0.500 0.000
Ba 0.500 0.000 0.000
Nb 0.500 0.500 0.500
B 0.000 0.000 0.000

Summary:
**ΔH_f (0 K)**: 1267 meV/atom
**ΔE to the lowest computed polymorph**: 0 meV/atom
**DOS(E_F)**: 3.814 states/eV/atom